[1]
! Sc2SbMo (PBE, optimized geometry); values from VASP
! Energy above the most stable polymorph in this dataset   0.525 eV/atom
! SG   R-3m (166)
! V   23.6 Å³ per atom
! DOS at the Fermi energy   4.9 states/eV/f.u.
! Uncorrected formation energy   20 kJ per mole of atoms
&SYSTEM
  ibrav = 0, nat = 4, ntyp = 3
/
ATOMIC_SPECIES
Mo 95.94 Mo.upf
Sc 44.96 Sc.upf
Sb 121.76 Sb.upf
CELL_PARAMETERS angstrom
-2.308 1.064 9.830
0.503 2.801 9.746
-2.355 4.241 8.919
ATOMIC_POSITIONS crystal
Mo 0.500 0.500 0.500
Sc 0.899 0.899 0.899
Sc 0.101 0.101 0.101
Sb 0.000 0.000 0.000


[2]
! Sc2SbMo (PBE, optimized geometry); values from VASP
! Energy above the most stable polymorph in this dataset   0.161 eV/atom
! SG   Cmmm (65)
! V   20.9 Å³ per atom
! DOS at the Fermi energy   3.3 states/eV/f.u.
! Uncorrected formation energy   -16 kJ per mole of atoms
&SYSTEM
  ibrav = 0, nat = 4, ntyp = 3
/
ATOMIC_SPECIES
Mo 95.94 Mo.upf
Sc 44.96 Sc.upf
Sb 121.76 Sb.upf
CELL_PARAMETERS angstrom
3.164 0.005 0.000
-0.923 3.027 0.000
0.000 0.000 8.732
ATOMIC_POSITIONS crystal
Mo 0.500 0.500 0.250
Sc 0.000 0.000 0.478
Sc 0.000 0.000 0.022
Sb 0.500 0.500 0.750